Entry from the Alexandria database: a relaxed structure of TbWN (PBE).

a b c (Å): 4.897 4.895 7.794
angles (deg): 90.00 90.11 90.00
Element x y z (fractional)
Tb1 0.249 0.000 0.346
Tb2 0.251 0.500 0.654
Tb3 0.749 0.500 0.346
Tb4 0.751 0.000 0.654
W1 0.248 0.500 0.073
W2 0.252 0.000 0.927
W3 0.748 0.000 0.073
W4 0.752 0.500 0.927
N1 0.249 0.000 0.660
N2 0.251 0.500 0.340
N3 0.749 0.500 0.660
N4 0.751 0.000 0.340

Values from the calculation:
total DFT energy (no corrections) = -9.611 eV per atom
D(E_F) = 0.2781 states/eV per atom
calculated volume = 186.8 Å³ per cell

Entry from the Alexandria database: a relaxed structure of NpNiGe2 (PBE).

a b c (Å): 2.882 2.882 29.096
angles (deg): 90.00 90.00 120.00
Element x y z (fractional)
Np1 0.000 0.000 0.000
Np2 0.333 0.667 0.667
Np3 0.667 0.333 0.333
Ni1 0.000 0.000 0.500
Ni2 0.333 0.667 0.167
Ni3 0.667 0.333 0.833
Ge1 0.000 0.000 0.103
Ge2 0.000 0.000 0.897
Ge3 0.333 0.667 0.564
Ge4 0.333 0.667 0.769
Ge5 0.667 0.333 0.231
Ge6 0.667 0.333 0.436

Values from the calculation:
DFT formation energy = 0.126 eV/atom
D(E_F) = 1.0853 states/eV per atom
calculated volume = 209.2 Å³ per cell

Entry from the Alexandria database: a relaxed structure of HfFe2Pd7 (PBE).

a b c (Å): 7.250 7.250 4.185
angles (deg): 90.00 90.00 119.92
Element x y z (fractional)
Hf1 0.000 0.000 0.000
Fe1 0.305 0.695 0.500
Fe2 0.695 0.305 0.500
Pd1 0.073 0.299 0.500
Pd2 0.213 0.787 0.000
Pd3 0.299 0.073 0.500
Pd4 0.500 0.500 0.500
Pd5 0.701 0.927 0.500
Pd6 0.787 0.213 0.000
Pd7 0.927 0.701 0.500

Values from the calculation:
DFT formation energy = 0.171 eV/atom
D(E_F) = 0.7453 states/eV per atom
calculated volume = 190.7 Å³ per cell

Entry from the Alexandria database: a relaxed structure of AlIrRh (PBE).

a b c (Å): 2.887 2.887 10.098
angles (deg): 90.00 90.00 90.00
Element x y z (fractional)
Al1 0.000 0.000 0.000
Al2 0.500 0.500 0.500
Ir1 0.000 0.000 0.654
Ir2 0.500 0.500 0.154
Rh1 0.000 0.000 0.347
Rh2 0.500 0.500 0.847

Values from the calculation:
DFT formation energy = -0.540 eV/atom
ΔE to the lowest computed polymorph = 0.000 eV per atom
D(E_F) = 1.3681 states/eV per atom
calculated volume = 84.2 Å³ per cell

Entry from the Alexandria database: a relaxed structure of LiMgCl3 (PBE).

a b c (Å): 4.941 4.941 4.941
angles (deg): 90.00 90.00 90.00
Element x y z (fractional)
Li1 0.000 0.000 0.000
Mg1 0.500 0.500 0.500
Cl1 0.000 0.500 0.500
Cl2 0.500 0.000 0.500
Cl3 0.500 0.500 0.000

Values from the calculation:
ΔE to the lowest computed polymorph = 0.236 eV per atom
D(E_F) = 0.0000 states/eV per atom
calculated volume = 120.6 Å³ per cell

Entry from the Alexandria database: a relaxed structure of TlAg2Hg (PBE).

a b c (Å): 3.367 5.407 9.773
angles (deg): 90.00 90.00 90.00
Element x y z (fractional)
Tl1 0.000 0.000 0.000
Tl2 0.500 0.500 0.000
Ag1 0.000 0.500 0.257
Ag2 0.000 0.500 0.743
Ag3 0.500 0.000 0.257
Ag4 0.500 0.000 0.743
Hg1 0.000 0.000 0.500
Hg2 0.500 0.500 0.500

Values from the calculation:
DFT formation energy = 0.159 eV/atom
D(E_F) = 0.3039 states/eV per atom
calculated volume = 177.9 Å³ per cell